[1]
## KHoAgBr6 (PBE-GGA)

Data for a relaxed KHoAgBr6 crystal.

Computed properties:
Energy   -3.340 eV per atom
Theoretical density   3.95 Mg/m³
Volume   36.97 Å³ per atom
SG   P1 (1)
D(E_F)   0.34 states/eV per atom
Total moment   0.9 μB/cell
Formation energy from raw total energies   -1.2774 eV/atom

abc: 7.587 7.082 7.355
angles: 87.50 85.43 57.64
Last column: magnetic moment on the atom in μB.
Sites, in units of the cell vectors:
K 0.010 0.980 0.001  0.00
Ho 0.680 0.641 0.500  -0.01
Ag 0.333 0.333 0.500  0.25
Br 0.988 0.374 0.248  0.02
Br 0.379 0.009 0.726  0.13
Br 0.640 0.371 0.750  0.02
Br 0.992 0.641 0.692  0.10
Br 0.368 0.641 0.308  0.10
Br 0.610 0.010 0.274  0.13

***

[2]
## HgAsOs2 (PBE-GGA)

Data for a relaxed HgAsOs2 crystal.

Computed properties:
Energy   -6.196 eV per atom
Theoretical density   16.04 Mg/m³
Polymorph energy (0 for the lowest one)   261 meV per atom
Volume   16.98 Å³ per atom
SG   C2/m (12)
D(E_F)   0.63 states/eV per atom
Total moment   0.0 μB/cell
ΔE_f   63 kJ per mole of atoms

abc: 4.205 4.205 5.901
angles: 80.16 80.16 41.45
Sites, in units of the cell vectors:
As 0.250 0.250 0.250
Os 0.994 0.994 0.056
Os 0.506 0.506 0.444
Hg 0.750 0.750 0.750

***

[3]
## NbGaFe (PBE-GGA)

Data for a relaxed NbGaFe crystal.

Computed properties:
Energy   -7.138 eV per atom
Theoretical density   7.76 Mg/m³
Volume   15.59 Å³ per atom
SG   Cmcm (63)
D(E_F)   0.54 states/eV per atom
Total moment   4.2 μB/cell
ΔE_f   5 kJ per mole of atoms

abc: 4.899 2.697 7.208
angles: 79.22 90.00 90.00
Last column: magnetic moment on the atom in μB.
Sites, in units of the cell vectors:
Nb 0.750 0.660 0.679  -0.10
Nb 0.250 0.340 0.321  -0.10
Fe 0.500 0.000 0.000  2.25
Fe 0.000 0.000 0.000  2.25
Ga 0.750 0.849 0.301  -0.03
Ga 0.250 0.151 0.699  -0.03

***

[4]
## Sr4In5Sn2 (PBE-GGA)

Data for a relaxed Sr4In5Sn2 crystal.

Computed properties:
Energy   -2.955 eV per atom
Theoretical density   5.58 Mg/m³
Volume   31.45 Å³ per atom
SG   P2/m (10)
D(E_F)   0.60 states/eV per atom
Total moment   0.0 μB/cell
ΔE_f   -36 kJ per mole of atoms

abc: 3.670 8.861 10.650
angles: 92.76 90.00 90.00
Sites, in units of the cell vectors:
Sr 0.500 0.717 0.541
Sr 0.500 0.175 0.884
Sr 0.500 0.283 0.459
Sr 0.500 0.825 0.116
In 0.000 0.534 0.283
In 0.000 0.199 0.166
In 0.000 0.500 0.000
In 0.000 0.801 0.834
In 0.000 0.466 0.717
Sn 0.000 0.040 0.636
Sn 0.000 0.960 0.364

***

[5]
## NaZrHg2 (PBE-GGA)

Data for a relaxed NaZrHg2 crystal.

Computed properties:
Energy   -2.758 eV per atom
Theoretical density   9.52 Mg/m³
Volume   22.48 Å³ per atom
SG   P4/mmm (123)
D(E_F)   0.66 states/eV per atom
Total moment   0.0 μB/cell
ΔE_f   -14 kJ per mole of atoms

abc: 3.090 5.395 5.395
angles: 90.00 90.00 90.00
Sites, in units of the cell vectors:
Na 0.500 0.500 0.500
Hg 0.000 0.000 0.500
Hg 0.000 0.500 0.000
Zr 0.500 0.000 0.000

***

[6]
## Sc2SbPt (PBE-GGA)

Data for a relaxed Sc2SbPt crystal.

Computed properties:
Energy   -6.086 eV per atom
Theoretical density   5.62 Mg/m³
Volume   30.06 Å³ per atom
SG   I-42d (122)
D(E_F)   1.13 states/eV per atom
Total moment   0.0 μB/cell
Formation energy from raw total energies   -0.3799 eV/atom

abc: 5.746 5.746 8.339
angles: 69.85 69.85 90.00
Sites, in units of the cell vectors:
Sc 0.664 0.125 0.250
Sc 0.086 0.625 0.250
Sc 0.375 0.336 0.750
Sc 0.875 0.914 0.750
Sb 0.500 0.500 0.000
Sb 0.250 0.750 0.500
Pt 0.000 0.000 0.000
Pt 0.750 0.250 0.500

***

[7]
## Tm8Rh2Pb (PBE-GGA)

Data for a relaxed Tm8Rh2Pb crystal.

Computed properties:
Energy   -5.348 eV per atom
Theoretical density   9.89 Mg/m³
Volume   26.92 Å³ per atom
SG   C2/m (12)
D(E_F)   1.12 states/eV per atom
Total moment   0.2 μB/cell
ΔE_f   -41 kJ per mole of atoms

abc: 5.417 7.848 7.848
angles: 113.51 97.89 97.89
Sites, in units of the cell vectors:
Tm 0.579 0.336 0.078
Tm 0.579 0.078 0.336
Tm 0.199 0.397 0.397
Tm 0.000 0.250 0.756
Tm 0.000 0.756 0.250
Tm 0.801 0.610 0.610
Tm 0.421 0.928 0.670
Tm 0.421 0.670 0.928
Rh 0.500 0.697 0.309
Rh 0.500 0.309 0.697
Pb 0.999 0.003 0.003

***

[8]
## AlRhNF2 (PBE-GGA)

Data for a relaxed AlRhNF2 crystal.

Computed properties:
Energy   -5.635 eV per atom
Theoretical density   5.68 Mg/m³
Polymorph energy (0 for the lowest one)   0 meV per atom
Volume   10.63 Å³ per atom
SG   P4/mmm (123)
D(E_F)   0.76 states/eV per atom
Total moment   1.1 μB/cell
Formation energy from raw total energies   -1.0024 eV/atom

abc: 3.525 3.525 4.278
angles: 90.00 90.00 90.00
Last column: magnetic moment on the atom in μB.
Sites, in units of the cell vectors:
N 0.000 0.000 0.500  0.07
Rh 0.500 0.500 0.500  0.90
Al 0.000 0.000 0.000  0.00
F 0.000 0.500 0.000  0.02
F 0.500 0.000 0.000  0.02

***

[9]
## Ac3PuSi6 (PBE-GGA)

Data for a relaxed Ac3PuSi6 crystal.

Computed properties:
Energy   -6.311 eV per atom
Theoretical density   7.22 Mg/m³
Volume   25.16 Å³ per atom
SG   R-3c (167)
D(E_F)   1.55 states/eV per atom
Total moment   12.1 μB/cell
Formation energy from raw total energies   -0.3918 eV/atom

abc: 8.047 8.047 8.047
angles: 98.25 98.25 98.25
Last column: magnetic moment on the atom in μB.
Sites, in units of the cell vectors:
Ac 0.190 0.750 0.310  0.04
Ac 0.310 0.190 0.750  0.04
Ac 0.250 0.690 0.810  0.04
Ac 0.750 0.310 0.190  0.04
Ac 0.690 0.810 0.250  0.04
Ac 0.810 0.250 0.690  0.04
Pu 0.000 0.000 0.000  5.42
Pu 0.500 0.500 0.500  5.42
Si 0.906 0.609 0.984  -0.01
Si 0.016 0.094 0.391  -0.01
Si 0.109 0.406 0.484  -0.01
Si 0.391 0.016 0.094  -0.01
Si 0.406 0.484 0.109  -0.01
Si 0.516 0.891 0.594  -0.01
Si 0.484 0.109 0.406  -0.01
Si 0.594 0.516 0.891  -0.01
Si 0.609 0.984 0.906  -0.01
Si 0.891 0.594 0.516  -0.01
Si 0.984 0.906 0.609  -0.01
Si 0.094 0.391 0.016  -0.01

***

[10]
## SmInI4 (PBE-GGA)

Data for a relaxed SmInI4 crystal.

Computed properties:
Energy   -3.358 eV per atom
Theoretical density   4.30 Mg/m³
Volume   49.79 Å³ per atom
SG   C2/m (12)
Total moment   0.0 μB/cell
Formation energy from raw total energies   -1.0818 eV/atom

abc: 4.597 8.676 14.982
angles: 91.20 90.00 90.00
Sites, in units of the cell vectors:
Sm 0.000 0.000 0.500
Sm 0.500 0.500 0.000
In 0.500 0.500 0.500
In 0.000 0.000 0.000
I 0.500 0.140 0.382
I 0.000 0.360 0.118
I 0.500 0.860 0.618
I 0.000 0.640 0.882
I 0.000 0.710 0.382
I 0.500 0.790 0.118
I 0.000 0.290 0.618
I 0.500 0.210 0.882

***

[11]
## BaSc2GeIr (PBE-GGA)

Data for a relaxed BaSc2GeIr crystal.

Computed properties:
Energy   -5.661 eV per atom
Theoretical density   5.35 Mg/m³
Volume   30.55 Å³ per atom
SG   P4/mmm (123)
D(E_F)   1.20 states/eV per atom
Total moment   0.0 μB/cell
ΔE_f   -5 kJ per mole of atoms

abc: 5.062 5.959 5.062
angles: 90.00 90.00 90.00
Sites, in units of the cell vectors:
Sc 0.000 0.000 0.500
Sc 0.500 0.000 0.000
Ge 0.500 0.500 0.500
Ir 0.000 0.000 0.000
Ba 0.000 0.500 0.000

***

[12]
## SrTl2InF6 (PBE-GGA)

Data for a relaxed SrTl2InF6 crystal.

Computed properties:
Energy   -4.499 eV per atom
Theoretical density   6.01 Mg/m³
Volume   20.02 Å³ per atom
SG   Pmmn (59)
D(E_F)   0.31 states/eV per atom
Total moment   0.0 μB/cell
Formation energy from raw total energies   -2.4606 eV/atom

abc: 6.486 6.668 9.260
angles: 90.00 90.00 90.00
Sites, in units of the cell vectors:
Sr 0.000 0.732 0.500
Sr 0.500 0.268 0.000
Tl 0.500 0.787 0.234
Tl 0.000 0.213 0.734
Tl 0.500 0.787 0.766
Tl 0.000 0.213 0.266
In 0.500 0.242 0.500
In 0.000 0.758 0.000
F 0.500 0.215 0.259
F 0.500 0.215 0.741
F 0.000 0.785 0.241
F 0.000 0.785 0.759
F 0.248 0.008 0.500
F 0.752 0.008 0.500
F 0.256 0.473 0.500
F 0.744 0.473 0.500
F 0.756 0.527 0.000
F 0.244 0.527 0.000
F 0.252 0.992 0.000
F 0.748 0.992 0.000